Crystalline LaMg2Se at its relaxed geometry, computed with PBE-GGA.

The space group is Pm (No. 6) and the conventional cell measures 4.8350, 3.7303 and 6.3039 Å, with angles of 90.00, 112.41 and 90.00 degrees. The distinct sites, in fractional coordinates, are La at (0.0000, 0.0000, 0.0000), Mg at (0.2836, 0.5000, 0.5663), Mg at (0.7123, 0.0000, 0.4235) and Se at (0.5148, 0.5000, 0.0299).

Its uncorrected formation energy is -16.987 kcal/mol of atoms.